A geometry-optimized Sn2TeN structure, computed with PBE.

abc: 5.0174 5.0174 5.0174
angles: 60.00 60.00 60.00
Closest atoms and distances in Å follow each position.
Atoms (fractional coordinates):
Te: 0.5000 0.5000 0.5000  8 Sn 3.07
Sn: 0.2500 0.2500 0.2500  4 Te 3.07, 4 N 3.07
Sn: 0.7500 0.7500 0.7500  4 Te 3.07, 4 N 3.07
N: 0.0000 0.0000 0.0000  8 Sn 3.07

total magnetic moment: 0.00 μB per atom
crystal system: cubic


A geometry-optimized SnTe3N structure, computed with PBE.

abc: 4.8871 4.8871 4.8871
angles: 90.00 90.00 90.00
Closest atoms and distances in Å follow each position.
Atoms (fractional coordinates):
Te: 0.0000 0.5000 0.0000  2 N 2.44
Te: 0.0000 0.0000 0.5000  2 N 2.44
Te: 0.5000 0.0000 0.0000  2 N 2.44
Sn: 0.5000 0.5000 0.5000  12 Te 3.46
N: 0.0000 0.0000 0.0000  6 Te 2.44

total magnetic moment: 0.00 μB per atom
crystal system: cubic


A geometry-optimized Sn2TeN2 structure, computed with PBE.

abc: 9.0136 9.0136 3.1125
angles: 90.00 90.00 90.00
Closest atoms and distances in Å follow each position.
Atoms (fractional coordinates):
Te: 0.0000 0.0000 0.0000  2 Te 3.11, 4 Sn 3.23
Te: 0.5000 0.5000 0.0000  2 Te 3.11, 4 Sn 3.23
Sn: 0.2097 0.7097 0.0000  2 N 2.60
Sn: 0.7097 0.7903 0.0000  2 N 2.60
Sn: 0.7903 0.2903 0.0000  2 N 2.60
Sn: 0.2903 0.2097 0.0000  2 N 2.60
N: 0.0460 0.5460 0.5000  1 N 1.17
N: 0.5460 0.9540 0.5000  1 N 1.17
N: 0.9540 0.4540 0.5000  1 N 1.17
N: 0.4540 0.0460 0.5000  1 N 1.17

total magnetic moment: 0.00 μB per atom
crystal system: tetragonal


It is found that the offset from the most stable computed form values, taken in the order of the records, are 0.7254 0.0000 0.0000 eV/atom.
It is found that the E_form (uncorrected) values, taken in the order of the records, are 998.1 550.1 359.6 meV per atom.